Record 1
MgIr2Se (GGA-PBE, relaxed); E above lowest polymorph = 82 meV/atom
1.0
4.186 0.000 0.000
0.000 4.186 0.000
0.000 0.000 3.531
Mg Ir Se
1 2 1
direct
0.500 0.000 0.500
0.000 0.000 0.000
0.500 0.500 0.000
0.000 0.500 0.500

---

Record 2
MgIrSe (GGA-PBE, relaxed); E above lowest polymorph = 174 meV/atom
1.0
3.260 0.000 0.000
-1.630 2.823 0.000
0.000 0.000 5.977
Se Ir Mg
1 1 1
direct
0.333 0.667 0.702
0.000 0.000 0.981
0.667 0.333 0.317

---

Record 3
Here is a relaxed Mg2IrSe crystal from Alexandria via LeMat-Bulk. Energies are from GGA-PBE.

Geometry as POSCAR:
```
Mg2IrSe
1.0
5.530 0.028 -0.024
4.674 2.956 -0.024
1.232 0.360 4.493
Mg Se Ir
2 1 1
direct
0.961 0.961 0.075
0.764 0.764 0.709
0.545 0.545 0.504
0.230 0.230 0.213
```

---

Record 4
MgIr2Se (GGA-PBE, relaxed); E above lowest polymorph = 615 meV/atom
1.0
5.978 0.000 0.000
0.000 5.978 0.000
2.989 2.989 5.121
Ir Mg Se
4 2 2
direct
0.375 0.334 0.750
0.084 0.625 0.250
0.875 0.916 0.750
0.666 0.125 0.250
0.250 0.750 0.500
0.500 0.500 0.000
0.000 0.000 0.000
0.750 0.250 0.500

---

Record 5
MgIr2Se (GGA-PBE, relaxed); E above lowest polymorph = 235 meV/atom
1.0
-3.520 2.632 0.706
-0.736 3.494 -2.659
-3.424 -0.051 -2.845
Ir Se Mg
2 1 1
direct
0.750 0.750 0.750
0.250 0.250 0.250
0.500 0.500 0.500
0.000 0.000 0.000

---

Record 6
Here is a relaxed Mg2IrSe crystal from Alexandria via LeMat-Bulk. Energies are from GGA-PBE.

Geometry as POSCAR:
```
Mg2IrSe
1.0
-0.375 3.410 3.515
-3.631 0.784 3.213
0.733 -1.357 3.899
Se Mg Ir
1 2 1
direct
0.750 0.750 0.750
0.500 0.500 0.500
0.000 0.000 0.000
0.250 0.250 0.250
```

---

Record 7
MgIr2Se (GGA-PBE, relaxed); E above lowest polymorph = 141 meV/atom
1.0
-1.121 4.497 0.866
-3.624 -0.256 3.006
4.217 -2.090 0.290
Se Ir Mg
1 2 1
direct
0.750 0.250 0.500
0.000 0.000 0.000
0.500 0.500 0.000
0.250 0.750 0.500

---

Record 8
MgIr2Se (GGA-PBE, relaxed); E above lowest polymorph = 89 meV/atom
1.0
-1.677 1.868 1.489
-2.214 -1.899 -0.111
2.376 -3.157 6.640
Ir Se Mg
2 1 1
direct
0.500 0.500 0.240
0.000 0.000 0.008
0.500 0.500 0.776
0.000 0.000 0.476

---

Energy relative to the elements, uncorrected (eV/atom)
0.054 -0.033 -0.359 0.587 0.207 -0.221 0.113 0.060
Density of states at the Fermi level (states/eV per cell)
1.79 2.18 2.59 1.61 5.30 1.04 2.07 3.53